Record 1
# Na2CoBi

A geometry-optimized Na2CoBi structure (PBE, the Alexandria database).

Geometry as POSCAR:
```
Na2CoBi
1.0
-6.492 9.143 0.911
-8.777 -6.501 2.695
-7.049 1.503 4.148
Na Co Bi
4 2 2
direct
0.416 0.125 0.250
0.334 0.625 0.250
0.375 0.584 0.750
0.875 0.666 0.750
0.500 0.500 0.000
0.250 0.750 0.500
0.000 0.000 0.000
0.750 0.250 0.500
```

Computed properties:
As for the total energy: -3.063 eV per atom. For the formation energy, the calculation gives 0.343 eV per atom.



Record 2
# NaCo2Bi2

A geometry-optimized NaCo2Bi2 structure (PBE, the Alexandria database).

Geometry as POSCAR:
```
NaCo2Bi2
1.0
-5.034 5.035 3.070
2.200 -2.141 7.120
2.333 2.343 -0.016
Na Co Bi
2 4 4
direct
0.000 0.000 0.000
0.500 0.500 0.000
0.379 0.879 0.000
0.879 0.621 0.000
0.621 0.121 0.000
0.121 0.379 0.000
0.165 0.665 0.500
0.665 0.835 0.500
0.835 0.335 0.500
0.335 0.165 0.500
```

Computed properties:
As for the total energy: -4.372 eV per atom. For the formation energy, the calculation gives 0.287 eV per atom. The value obtained for the offset from the most stable computed form is 125 meV/atom.



Record 3
# NaCo2Bi2

A geometry-optimized NaCo2Bi2 structure (PBE, the Alexandria database).

Geometry as POSCAR:
```
NaCo2Bi2
1.0
-2.329 4.355 -0.149
-2.440 -1.163 4.136
0.940 3.458 4.478
Na Co Bi
1 2 2
direct
0.000 0.000 0.000
0.380 0.380 0.241
0.620 0.620 0.759
0.750 0.250 0.500
0.250 0.750 0.500
```

Computed properties:
As for the total energy: -4.361 eV per atom. For the formation energy, the calculation gives 0.298 eV per atom. The value obtained for the offset from the most stable computed form is 136 meV/atom.



Record 4
# NaCo2Bi2

A geometry-optimized NaCo2Bi2 structure (PBE, the Alexandria database).

Geometry as POSCAR:
```
NaCo2Bi2
1.0
7.992 0.000 0.000
0.000 7.992 0.000
0.000 0.000 3.204
Na Co Bi
2 4 4
direct
0.000 0.000 0.000
0.500 0.500 0.000
0.127 0.627 0.500
0.627 0.873 0.500
0.873 0.373 0.500
0.373 0.127 0.500
0.345 0.845 0.000
0.845 0.655 0.000
0.655 0.155 0.000
0.155 0.345 0.000
```

Computed properties:
As for the total energy: -4.303 eV per atom. For the formation energy, the calculation gives 0.355 eV per atom. The value obtained for the offset from the most stable computed form is 194 meV/atom.